(1)
# PmHoZnIr PBE optimized geometry
# Offset from the most stable computed form ... 0.0 meV per atom
data_PmHoZnIr
_chemical_formula_sum 'Pm2 Ho2 Zn2 Ir2'
_cell_length_a 4.336
_cell_length_b 3.961
_cell_length_c 10.769
_cell_angle_alpha 90.00
_cell_angle_beta 90.00
_cell_angle_gamma 90.00
_symmetry_space_group_name_H-M 'A m m 2'
_symmetry_Int_Tables_number 38
loop_
_symmetry_equiv_pos_as_xyz
'x,y,z'
'-x,-y,z'
'-x,y,z'
'x,-y,z'
'x,y+1/2,z+1/2'
'-x,-y+1/2,z+1/2'
'-x,y+1/2,z+1/2'
'x,-y+1/2,z+1/2'
loop_
_atom_site_label
_atom_site_type_symbol
_atom_site_fract_x
_atom_site_fract_y
_atom_site_fract_z
_atom_site_occupancy
Pm1 Pm 0.000 0.000 0.000 1
Ho1 Ho 0.500 0.000 0.280 1
Zn1 Zn 0.500 0.000 0.574 1
Ir1 Ir 0.000 0.000 0.716 1

(2)
PrHo4Ir4: optimized geometry, PBE.

```
data_PrHo4Ir4
_chemical_formula_sum 'Pr2 Ho8 Ir8'
_cell_length_a 8.977
_cell_length_b 8.977
_cell_length_c 5.630
_cell_angle_alpha 90.00
_cell_angle_beta 90.00
_cell_angle_gamma 90.00
_symmetry_space_group_name_H-M 'P 42/n'
_symmetry_Int_Tables_number 86
loop_
_symmetry_equiv_pos_as_xyz
'x,y,z'
'-x,-y,-z'
'-y,x+1/2,z+1/2'
'y,-x+1/2,-z+1/2'
'-x+1/2,-y+1/2,z'
'x+1/2,y+1/2,-z'
'y+1/2,-x,z+1/2'
'-y+1/2,x,-z+1/2'
loop_
_atom_site_label
_atom_site_type_symbol
_atom_site_fract_x
_atom_site_fract_y
_atom_site_fract_z
_atom_site_occupancy
Pr1 Pr 0.250 0.250 0.250 1
Ho1 Ho 0.085 0.654 0.144 1
Ir1 Ir 0.037 0.614 0.646 1
```

(3)
Pr2HoIr3: optimized geometry, PBE.

```
data_Pr2HoIr3
_chemical_formula_sum 'Pr4 Ho2 Ir6'
_cell_length_a 4.643
_cell_length_b 5.762
_cell_length_c 10.807
_cell_angle_alpha 90.00
_cell_angle_beta 90.00
_cell_angle_gamma 90.00
_symmetry_space_group_name_H-M 'I m m m'
_symmetry_Int_Tables_number 71
_symmetry_space_group_name_Hall '-I 2 2'
loop_
_atom_site_label
_atom_site_type_symbol
_atom_site_fract_x
_atom_site_fract_y
_atom_site_fract_z
_atom_site_occupancy
Pr1 Pr 0.000 0.000 0.171 1
Ho1 Ho 0.000 0.000 0.500 1
Ir1 Ir 0.000 0.500 0.139 1
Ir2 Ir 0.000 0.500 0.500 1
```

(4)
Pr3HoIr: optimized geometry, PBE.

```
data_Pr3HoIr
_chemical_formula_sum 'Pr3 Ho1 Ir1'
_cell_length_a 5.645
_cell_length_b 5.645
_cell_length_c 5.645
_cell_angle_alpha 90.00
_cell_angle_beta 90.00
_cell_angle_gamma 90.00
_symmetry_space_group_name_H-M 'P m -3 m'
_symmetry_Int_Tables_number 221
_symmetry_space_group_name_Hall '-P 4 2 3'
loop_
_atom_site_label
_atom_site_type_symbol
_atom_site_fract_x
_atom_site_fract_y
_atom_site_fract_z
_atom_site_occupancy
Pr1 Pr 0.000 0.000 0.500 1
Ho1 Ho 0.500 0.500 0.500 1
Ir1 Ir 0.000 0.000 0.000 1
```

Number 1: formation enthalpy at 0 K -2.30 eV per formula unit, DOS at the Fermi energy 6.0 states/eV/cell, calculated volume 185 Å³/cell. Number 2: formation enthalpy at 0 K -5.72 eV per formula unit, DOS at the Fermi energy 10.8 states/eV/cell, calculated volume 454 Å³/cell. Number 3: formation enthalpy at 0 K -2.05 eV per formula unit, DOS at the Fermi energy 6.5 states/eV/cell, calculated volume 289 Å³/cell. Number 4: formation enthalpy at 0 K -0.44 eV per formula unit, DOS at the Fermi energy 9.0 states/eV/cell, calculated volume 180 Å³/cell.